Density functional theory data (PBE) for an optimized crystal structure of Zn2PRu.

The structure belongs to space group R3m (No. 160, hexagonal axes); the cell edges are 2.9515, 2.9515 and 24.1420 Å and the angles 90.00°, 90.00° and 120.00°. The distinct sites, in fractional coordinates, are Zn at (0.0000, 0.0000, 0.0000), Zn at (0.0000, 0.0000, 0.2419), P at (0.0000, 0.0000, 0.7569) and Ru at (0.0000, 0.0000, 0.4878).

As for the spin magnetization: 0.000 μB per formula unit. The calculation puts the formation energy at -0.106 eV per atom. Its electronic total energy is -4.414 eV/atom. As for the crystal system: trigonal.

Density functional theory data (PBE) for an optimized crystal structure of KFeSn2B.

The structure belongs to space group P4/mmm (No. 123); the cell edges are 5.165, 5.165 and 4.162 Å and the angles 90.00°, 90.00° and 90.00°. The distinct sites, in fractional coordinates, are K at (0.000, 0.000, 0.000), Fe at (0.500, 0.500, 0.000), Sn at (0.000, 0.500, 0.500) and B at (0.500, 0.500, 0.500).

As for the spin magnetization: 2.538 μB per formula unit. The calculation puts the formation energy at 0.625 eV per atom. Its electronic total energy is -4.224 eV/atom. As for the crystal system: tetragonal.

Density functional theory data (PBE) for an optimized crystal structure of La3InO.

The structure belongs to space group R3m (No. 160, hexagonal axes); the cell edges are 10.1710, 10.1710 and 5.4394 Å and the angles 90.00°, 90.00° and 120.00°. The distinct sites, in fractional coordinates, are La at (0.0830, 0.5415, 0.0000), In at (0.0000, 0.0000, 0.7871) and O at (0.0000, 0.0000, 0.2055).

The uncorrected formation energy comes out at -0.93 eV/atom. As for the spin magnetization: 0.000 μB per formula unit. Its electronic total energy is -5.427 eV/atom. As for the crystal system: trigonal.

Density functional theory data (PBE) for an optimized crystal structure of ZnCuTeI2.

The structure belongs to space group P4/mmm (No. 123); the cell edges are 5.343, 5.343 and 5.383 Å and the angles 90.00°, 90.00° and 90.00°. The distinct sites, in fractional coordinates, are Zn at (0.000, 0.000, 0.000), Cu at (0.500, 0.500, 0.500), Te at (0.500, 0.500, 0.000) and I at (0.000, 0.500, 0.500).

The uncorrected formation energy comes out at 0.36 eV/atom. As for the spin magnetization: 0.000 μB per formula unit. Its electronic total energy is -1.961 eV/atom. As for the crystal system: tetragonal.